# As4PAu

A geometry-optimized As4PAu structure (PBE, Alexandria via LeMat-Bulk).

Values from the calculation:
The value obtained for the volume is 19.8 Å³ per atom. As for the formation energy from the elements: 734 meV/atom.

Geometry as CIF:
```
data_As4PAu
_symmetry_space_group_name_H-M 'F -4 3 m'
_symmetry_Int_Tables_number 216
_symmetry_space_group_name_Hall 'F -4 2 3'
_cell_length_a 7.802
_cell_length_b 7.802
_cell_length_c 7.802
_cell_angle_alpha 90.00
_cell_angle_beta 90.00
_cell_angle_gamma 90.00
loop_
_atom_site_label
_atom_site_type_symbol
_atom_site_fract_x
_atom_site_fract_y
_atom_site_fract_z
As1 As 0.125 0.125 0.125
P1 P 0.000 0.000 0.500
Au1 Au 0.250 0.250 0.750
```